[1]
This record from Alexandria via LeMat-Bulk describes NaGeP2 after structural relaxation. The functional is PBE-GGA.

a b c (Å): 6.9382 6.9382 7.2215
angles (deg): 90.00 90.00 90.00
Fractional positions:
Na1 0.0000 0.0000 0.0000
Na2 0.0000 0.5000 0.2500
Na3 0.5000 0.0000 0.7500
Na4 0.5000 0.5000 0.5000
Ge1 0.0000 0.0000 0.5000
Ge2 0.0000 0.5000 0.7500
Ge3 0.5000 0.0000 0.2500
Ge4 0.5000 0.5000 0.0000
P1 0.1862 0.2500 0.6250
P2 0.2500 0.6862 0.8750
P3 0.2500 0.8138 0.3750
P4 0.3138 0.2500 0.1250
P5 0.6862 0.7500 0.1250
P6 0.7500 0.1862 0.3750
P7 0.7500 0.3138 0.8750
P8 0.8138 0.7500 0.6250

Values from the calculation:
- SG = I-42d, No. 122
- crystal system = tetragonal
- calculated density (g/cm³) = 3.0

=====

[2]
This record from Alexandria via LeMat-Bulk describes Sr2AlOs after structural relaxation. The functional is PBE-GGA.

a b c (Å): 7.4827 4.3183 8.6016
angles (deg): 90.00 106.77 90.00
Fractional positions:
Sr1 0.0000 0.0000 0.0000
Sr2 0.1687 0.0000 0.5094
Sr3 0.5000 0.5000 0.0000
Sr4 0.6687 0.5000 0.5094
Al1 0.4172 0.0000 0.2546
Al2 0.9172 0.5000 0.2546
Os1 0.2506 0.5000 0.2550
Os2 0.7506 0.0000 0.2550

Values from the calculation:
- SG = Cm, No. 8
- crystal system = monoclinic
- calculated density (g/cm³) = 4.9

=====

[3]
This record from Alexandria via LeMat-Bulk describes CaHf3Al after structural relaxation. The functional is PBE-GGA.

a b c (Å): 4.9876 4.9876 4.9876
angles (deg): 90.00 90.00 90.00
Fractional positions:
Ca1 0.0000 0.0000 0.0000
Hf1 0.0000 0.0000 0.5000
Hf2 0.0000 0.5000 0.0000
Hf3 0.5000 0.0000 0.0000
Al1 0.5000 0.5000 0.5000

Values from the calculation:
- SG = Pm-3m, No. 221
- crystal system = cubic
- calculated density (g/cm³) = 8.1

=====

[4]
This record from Alexandria via LeMat-Bulk describes NaAc2P after structural relaxation. The functional is PBE-GGA.

a b c (Å): 5.3362 5.3362 4.2157
angles (deg): 90.00 90.00 90.00
Fractional positions:
Na1 0.0000 0.0000 0.0000
Ac1 0.0000 0.5000 0.5000
Ac2 0.5000 0.0000 0.5000
P1 0.5000 0.5000 0.0000

Values from the calculation:
- SG = P4/mmm, No. 123
- crystal system = tetragonal
- calculated density (g/cm³) = 7.0

=====

no.,energy relative to the elements (eV/atom)
1,0.023
2,-0.049
3,1.797
4,-0.326